# 1
Below is Ce2PrSc after structural relaxation, with properties calculated at the PBE level.

Structure (POSCAR):
```
Ce2PrSc
1.0
4.799 0.000 0.000
0.000 4.799 0.000
0.000 0.000 5.103
Ce Pr Sc
2 1 1
Direct
0.000 0.500 0.000
0.500 0.000 0.000
0.000 0.000 0.500
0.500 0.500 0.500
```

Output
* energy above the lowest structure with this stoichiometry: 0.02 eV per formula unit
* formation enthalpy at 0 K: 0.1172 eV/atom
* symmetry: No. 123



# 2
Below is MnCuTcH2 after structural relaxation, with properties calculated at the PBE level.

Structure (POSCAR):
```
MnCuTcH2
1.0
3.484 0.000 0.000
0.000 3.484 0.000
0.000 0.000 4.804
Mn Cu Tc H
1 1 1 2
Direct
0.000 0.000 0.000
0.500 0.500 0.000
0.500 0.500 0.500
0.000 0.500 0.500
0.500 0.000 0.500
```

Output
* E: -5.394 eV per atom
* symmetry: No. 123



# 3
Below is Pm9Er2Sc after structural relaxation, with properties calculated at the PBE level.

Structure (POSCAR):
```
Pm9Er2Sc
1.0
5.081 0.000 0.000
0.000 5.081 0.000
0.000 0.000 15.253
Pm Er Sc
9 2 1
Direct
0.000 0.000 0.000
0.000 0.000 0.331
0.000 0.000 0.669
0.000 0.500 0.163
0.000 0.500 0.500
0.000 0.500 0.837
0.500 0.000 0.163
0.500 0.000 0.500
0.500 0.000 0.837
0.500 0.500 0.331
0.500 0.500 0.669
0.500 0.500 0.000
```

Output
* formation enthalpy at 0 K: 0.0241 eV/atom
* symmetry: No. 123